{
  "formula": "ScTlPb2",
  "functional": "GGA-PBE",
  "state": "optimized geometry",
  "lattice": [[5.555, 0.000, 0.000], [0.000, 5.555, 0.000], [0.000, 0.000, 3.557]],
  "species": ["Sc", "Tl", "Pb", "Pb"],
  "frac_coords": [[0.000, 0.000, 0.000], [0.500, 0.500, 0.000], [0.000, 0.500, 0.500], [0.500, 0.000, 0.500]],
  "e_tot_ev_per_cell": -16.53,
  "delta_e_f_ev_per_atom": -0.1040
}